(1)
Computed, not measured: a geometry-optimized PtPbW structure at the GGA-PBE level of DFT.

Computed properties:
- M_tot: 7.999 μB/cell
- Energy of formation: 0.74 eV/atom
- Total DFT energy (no corrections): -82.0 eV per cell
- ΔE to the lowest computed polymorph: 0.354 eV/atom
- Density of states at the Fermi level: 1.0890 states/eV per atom

The structure in CIF format:
```
data_PtPbW
_chemical_formula_sum 'Pt4 Pb4 W4'
_symmetry_space_group_name_H-M 'F -4 3 m'
_symmetry_Int_Tables_number 216
_symmetry_space_group_name_Hall 'F -4 2 3'
_cell_length_a 6.3659
_cell_length_b 6.3659
_cell_length_c 6.3659
_cell_angle_alpha 90.00
_cell_angle_beta 90.00
_cell_angle_gamma 90.00
loop_
_atom_site_label
_atom_site_type_symbol
_atom_site_fract_x
_atom_site_fract_y
_atom_site_fract_z
Pt1 Pt 0.0000 0.0000 0.0000
Pb1 Pb 0.2500 0.2500 0.7500
W1 W 0.2500 0.2500 0.2500
```

(2)
Computed, not measured: a geometry-optimized Mg2CuMo structure at the GGA-PBE level of DFT.

Computed properties:
- M_tot: 1.122 μB/cell
- Energy of formation: 0.27 eV/atom
- Total DFT energy (no corrections): -51.2 eV per cell
- ΔE to the lowest computed polymorph: 0.109 eV/atom
- Density of states at the Fermi level: 1.0014 states/eV per atom

The structure in CIF format:
```
data_Mg2CuMo
_chemical_formula_sum 'Mg6 Cu3 Mo3'
_symmetry_space_group_name_H-M 'R -3 m'
_symmetry_Int_Tables_number 166
_symmetry_space_group_name_Hall '-R 3 2"'
_cell_length_a 2.8651
_cell_length_b 2.8651
_cell_length_c 27.9676
_cell_angle_alpha 90.00
_cell_angle_beta 90.00
_cell_angle_gamma 120.00
loop_
_atom_site_label
_atom_site_type_symbol
_atom_site_fract_x
_atom_site_fract_y
_atom_site_fract_z
Mg1 Mg 0.0000 0.0000 0.2456
Cu1 Cu 0.0000 0.0000 0.5000
Mo1 Mo 0.0000 0.0000 0.0000
```

(3)
Computed, not measured: a geometry-optimized Li3Mg3Pb structure at the GGA-PBE level of DFT.

Computed properties:
- M_tot: 0.000 μB/cell
- Energy of formation: -0.07 eV/atom
- Total DFT energy (no corrections): -29.5 eV per cell
- ΔE to the lowest computed polymorph: 0.003 eV/atom
- Density of states at the Fermi level: 0.3121 states/eV per atom

The structure in CIF format:
```
data_Li3Mg3Pb
_chemical_formula_sum 'Li6 Mg6 Pb2'
_symmetry_space_group_name_H-M 'P 63/m'
_symmetry_Int_Tables_number 176
_symmetry_space_group_name_Hall '-P 6c'
_cell_length_a 8.3712
_cell_length_b 8.3712
_cell_length_c 5.0840
_cell_angle_alpha 90.00
_cell_angle_beta 90.00
_cell_angle_gamma 120.00
loop_
_atom_site_label
_atom_site_type_symbol
_atom_site_fract_x
_atom_site_fract_y
_atom_site_fract_z
Li1 Li 0.0514 0.2331 0.2500
Mg1 Mg 0.0929 0.4554 0.7500
Pb1 Pb 0.3333 0.6667 0.2500
```

(4)
Computed, not measured: a geometry-optimized CeEr2Zr structure at the GGA-PBE level of DFT.

Computed properties:
- M_tot: 1.071 μB/cell
- Energy of formation: 0.10 eV/atom
- Total DFT energy (no corrections): -23.2 eV per cell
- ΔE to the lowest computed polymorph: 0.005 eV/atom
- Density of states at the Fermi level: 2.0856 states/eV per atom

The structure in CIF format:
```
data_CeEr2Zr
_chemical_formula_sum 'Ce1 Er2 Zr1'
_symmetry_space_group_name_H-M 'P 4/m m m'
_symmetry_Int_Tables_number 123
_symmetry_space_group_name_Hall '-P 4 2'
_cell_length_a 3.3622
_cell_length_b 3.3622
_cell_length_c 9.9896
_cell_angle_alpha 90.00
_cell_angle_beta 90.00
_cell_angle_gamma 90.00
loop_
_atom_site_label
_atom_site_type_symbol
_atom_site_fract_x
_atom_site_fract_y
_atom_site_fract_z
Ce1 Ce 0.0000 0.0000 0.0000
Er1 Er 0.5000 0.5000 0.2691
Zr1 Zr 0.0000 0.0000 0.5000
```